(1)
Below is a relaxed structure of Ta2MoHAu, with properties calculated at the PBE-GGA level.

a b c (Å): 4.203 4.203 4.027
angles (deg): 90.00 90.00 90.00
Sites, in units of the cell vectors:
Ta: 0.000 0.500 0.000
Ta: 0.500 0.000 0.000
Mo: 0.000 0.000 0.500
H: 0.500 0.500 0.000
Au: 0.500 0.500 0.500

Crystal system   tetragonal
Mass density   15.31 g/cm³
Relative energy among the computed polymorphs   124 meV/atom

(2)
Below is a relaxed structure of Ta2MoHAu, with properties calculated at the PBE-GGA level.

a b c (Å): 4.218 4.218 3.974
angles (deg): 90.00 90.00 90.00
Sites, in units of the cell vectors:
Ta: 0.000 0.500 0.000
Ta: 0.500 0.000 0.000
Mo: 0.000 0.000 0.500
H: 0.000 0.000 0.000
Au: 0.500 0.500 0.500

Crystal system   tetragonal
Mass density   15.40 g/cm³
Relative energy among the computed polymorphs   0 meV/atom

(3)
Below is a relaxed structure of TcMo2HAu, with properties calculated at the PBE-GGA level.

a b c (Å): 4.016 4.016 4.022
angles (deg): 90.00 90.00 90.00
Sites, in units of the cell vectors:
Tc: 0.000 0.000 0.000
Mo: 0.000 0.500 0.500
Mo: 0.500 0.000 0.500
H: 0.000 0.000 0.500
Au: 0.500 0.500 0.000

Final energy   -38.07 eV per cell
Crystal system   tetragonal
Mass density   12.49 g/cm³

(4)
Below is a relaxed structure of V2MoHAu, with properties calculated at the PBE-GGA level.

a b c (Å): 3.998 3.998 3.867
angles (deg): 90.00 90.00 90.00
Sites, in units of the cell vectors:
V: 0.000 0.500 0.000
V: 0.500 0.000 0.000
Mo: 0.000 0.000 0.500
H: 0.000 0.000 0.000
Au: 0.500 0.500 0.500

Final energy   -35.78 eV per cell
Crystal system   tetragonal
Mass density   10.63 g/cm³

(5)
Below is a relaxed structure of Zr2MoHAu, with properties calculated at the PBE-GGA level.

a b c (Å): 4.674 4.674 3.650
angles (deg): 90.00 90.00 90.00
Sites, in units of the cell vectors:
Zr: 0.000 0.500 0.000
Zr: 0.500 0.000 0.000
Mo: 0.000 0.000 0.500
H: 0.000 0.000 0.000
Au: 0.500 0.500 0.500

Final energy   -36.03 eV per cell
Crystal system   tetragonal
Mass density   9.92 g/cm³

(6)
Below is a relaxed structure of HAu2N, with properties calculated at the PBE-GGA level.

a b c (Å): 5.818 5.818 5.818
angles (deg): 132.41 132.41 69.58
Sites, in units of the cell vectors:
H: 0.000 0.000 0.000
H: 0.750 0.250 0.500
Au: 0.080 0.625 0.955
Au: 0.375 0.330 0.455
Au: 0.670 0.125 0.045
Au: 0.875 0.920 0.545
N: 0.250 0.750 0.500
N: 0.500 0.500 0.000

Crystal system   tetragonal
Mass density   12.90 g/cm³
Relative energy among the computed polymorphs   0 meV/atom

What did the second record say?
Below is a relaxed structure of Ta2MoHAu, with properties calculated at the PBE-GGA level.

a b c (Å): 4.218 4.218 3.974
angles (deg): 90.00 90.00 90.00
Sites, in units of the cell vectors:
Ta: 0.000 0.500 0.000
Ta: 0.500 0.000 0.000
Mo: 0.000 0.000 0.500
H: 0.000 0.000 0.000
Au: 0.500 0.500 0.500

Crystal system   tetragonal
Mass density   15.40 g/cm³
Relative energy among the computed polymorphs   0 meV/atom

The lowest mass density belongs to which entry?
Zr2MoHAu